Record 1
This record from Alexandria describes K2BeBr after structural relaxation. The functional is PBE.

Properties
**Energy relative to the elements, uncorrected**: -0.06 eV/atom
**Offset from the most stable computed form**: 0.56 eV/f.u.
**DOS(E_F)**: 0.37 states/eV/f.u.
**Space-group type**: I-42d

Unit cell a=8.835 b=8.835 c=7.670 alpha=54.83 beta=54.83 gamma=90.00
Positions (direct):
Br: 0.750 0.250 0.500
Br: 0.000 0.000 0.000
Be: 0.250 0.750 0.500
Be: 0.500 0.500 0.000
K: 0.875 0.897 0.750
K: 0.375 0.353 0.750
K: 0.647 0.125 0.250
K: 0.103 0.625 0.250

***

Record 2
This record from Alexandria describes AcPrIrN2 after structural relaxation. The functional is PBE.

Properties
**Energy relative to the elements, uncorrected**: -0.63 eV/atom
**DOS(E_F)**: 4.70 states/eV/f.u.
**Space-group type**: P2/c

Unit cell a=5.086 b=5.699 c=6.999 alpha=96.80 beta=90.00 gamma=90.00
Positions (direct):
Pr: 0.478 0.000 0.250
Pr: 0.522 0.000 0.750
Ac: 0.072 0.500 0.750
Ac: 0.928 0.500 0.250
N: 0.276 0.740 0.488
N: 0.276 0.260 0.012
N: 0.724 0.740 0.988
N: 0.724 0.260 0.512
Ir: 0.000 0.000 0.000
Ir: 0.000 0.000 0.500

***

Record 3
This record from Alexandria describes Y2Ru2Rh after structural relaxation. The functional is PBE.

Properties
**Offset from the most stable computed form**: 2.14 eV/f.u.
**Energy relative to the elements**: 171 meV per atom
**DOS(E_F)**: 4.95 states/eV/f.u.
**Space-group type**: I4/mmm

Unit cell a=5.470 b=5.470 c=5.321 alpha=59.07 beta=59.07 gamma=90.00
Positions (direct):
Y: 0.750 0.250 0.500
Y: 0.250 0.750 0.500
Ru: 0.663 0.663 0.675
Ru: 0.337 0.337 0.325
Rh: 0.000 0.000 0.000